Entry 1:
# Er3TmLu2As2Os GGA-PBE optimized geometry
data_Er3TmLu2As2Os
_chemical_formula_sum 'Er3 Tm1 Lu2 As2 Os1'
_space_group_name_H-M_alt 'P 1'
_space_group_IT_number 1
_cell_length_a 4.1289
_cell_length_b 7.7574
_cell_length_c 7.7574
_cell_angle_alpha 120.13
_cell_angle_beta 90.00
_cell_angle_gamma 90.00
loop_
_space_group_symop_operation_xyz
'x,y,z'
loop_
_atom_site_label
_atom_site_type_symbol
_atom_site_fract_x
_atom_site_fract_y
_atom_site_fract_z
As1 As 0.5000 0.6682 0.3331
As2 As 0.5000 0.3331 0.6682
Er1 Er 0.0000 0.4028 0.0000
Er2 Er 0.0000 0.0000 0.4028
Er3 Er 0.0000 0.5991 0.5991
Lu1 Lu 0.5000 0.7559 0.0001
Lu2 Lu 0.5000 0.0001 0.7559
Os1 Os 0.0000 0.9968 0.9968
Tm1 Tm 0.5000 0.2439 0.2439
# **ρ**: 10.5 g cm⁻³
# **Calculated total energy**: -6.085 eV per atom

Entry 2:
# SnPdAu GGA-PBE optimized geometry
data_SnPdAu
_chemical_formula_sum 'Sn1 Pd1 Au1'
_space_group_name_H-M_alt 'P 1'
_space_group_IT_number 1
_cell_length_a 4.4787
_cell_length_b 4.4787
_cell_length_c 4.4787
_cell_angle_alpha 60.00
_cell_angle_beta 60.00
_cell_angle_gamma 60.00
loop_
_space_group_symop_operation_xyz
'x,y,z'
loop_
_atom_site_label
_atom_site_type_symbol
_atom_site_fract_x
_atom_site_fract_y
_atom_site_fract_z
Au1 Au 0.2500 0.2500 0.2500
Pd1 Pd 0.0000 0.0000 0.0000
Sn1 Sn 0.7500 0.7500 0.7500
# **ρ**: 11.0 g cm⁻³
# **Calculated total energy**: -4.403 eV per atom

Entry 3:
# Hf4SiPbN2 GGA-PBE optimized geometry
data_Hf4SiPbN2
_chemical_formula_sum 'Hf4 Si1 Pb1 N2'
_space_group_name_H-M_alt 'P 1'
_space_group_IT_number 1
_cell_length_a 3.2561
_cell_length_b 3.2561
_cell_length_c 14.0425
_cell_angle_alpha 90.00
_cell_angle_beta 90.00
_cell_angle_gamma 120.00
loop_
_space_group_symop_operation_xyz
'x,y,z'
loop_
_atom_site_label
_atom_site_type_symbol
_atom_site_fract_x
_atom_site_fract_y
_atom_site_fract_z
Hf1 Hf 0.0000 0.0000 0.1773
Hf2 Hf 0.6667 0.3333 0.3547
Hf3 Hf 0.6667 0.3333 0.6453
Hf4 Hf 0.0000 0.0000 0.8227
N1 N 0.3333 0.6667 0.2661
N2 N 0.3333 0.6667 0.7339
Pb1 Pb 0.6667 0.3333 0.0000
Si1 Si 0.0000 0.0000 0.5000
# **ρ**: 12.6 g cm⁻³
# **Calculated total energy**: -9.187 eV per atom

Please write out number 3 again, unchanged.
# Hf4SiPbN2 GGA-PBE optimized geometry
data_Hf4SiPbN2
_chemical_formula_sum 'Hf4 Si1 Pb1 N2'
_space_group_name_H-M_alt 'P 1'
_space_group_IT_number 1
_cell_length_a 3.2561
_cell_length_b 3.2561
_cell_length_c 14.0425
_cell_angle_alpha 90.00
_cell_angle_beta 90.00
_cell_angle_gamma 120.00
loop_
_space_group_symop_operation_xyz
'x,y,z'
loop_
_atom_site_label
_atom_site_type_symbol
_atom_site_fract_x
_atom_site_fract_y
_atom_site_fract_z
Hf1 Hf 0.0000 0.0000 0.1773
Hf2 Hf 0.6667 0.3333 0.3547
Hf3 Hf 0.6667 0.3333 0.6453
Hf4 Hf 0.0000 0.0000 0.8227
N1 N 0.3333 0.6667 0.2661
N2 N 0.3333 0.6667 0.7339
Pb1 Pb 0.6667 0.3333 0.0000
Si1 Si 0.0000 0.0000 0.5000
# **ρ**: 12.6 g cm⁻³
# **Calculated total energy**: -9.187 eV per atom